Compound: Ba2SmCdHg6
Source: Alexandria via LeMat-Bulk
Functional: PBE
Structure: relaxed

a b c (Å): 11.4282 11.4282 11.4282
angles (deg): 90.00 90.00 90.00
Last column: nearest neighbours and their distance in Å.
Space group Fm-3m (No. 225)
Asymmetric unit:
Ba: 0.2500 0.2500 0.2500 (multiplicity 8)  12 Hg 4.04
Sm: 0.0000 0.0000 0.0000 (multiplicity 4)  6 Hg 2.93
Cd: 0.0000 0.0000 0.5000 (multiplicity 4)  6 Hg 2.79
Hg: 0.0000 0.0000 0.2563 (multiplicity 24)  1 Cd 2.79, 1 Sm 2.93

Energy relative to the elements = -0.19 eV/atom